(1)
Entry from Alexandria: a relaxed Dy7Zn4Sn crystal (PBE).

Calculated values
Calculated formation energy = -0.174 eV/atom
Calculated total energy = -3.62 eV per atom
D(E_F) = 0.8950 states/eV per atom
V = 308.4 Å³/f.u.

abc: 5.671 8.691 7.558
angles: 65.82 67.96 70.96
Sites, in units of the cell vectors:
1 Dy 0.500 0.000 0.000
2 Dy 0.923 0.407 0.746
3 Dy 0.818 0.876 0.487
4 Dy 0.077 0.593 0.254
5 Dy 0.724 0.314 0.239
6 Dy 0.276 0.686 0.761
7 Dy 0.182 0.124 0.513
8 Sn 0.000 0.000 0.000
9 Zn 0.515 0.333 0.638
10 Zn 0.689 0.665 0.957
11 Zn 0.485 0.667 0.362
12 Zn 0.311 0.335 0.043

***

(2)
Entry from Alexandria: a relaxed DyZnSn2 crystal (PBE).

Calculated values
Calculated formation energy = -0.200 eV/atom
Calculated total energy = -3.67 eV per atom
D(E_F) = 0.4939 states/eV per atom
V = 98.5 Å³/f.u.

abc: 4.725 4.725 5.779
angles: 65.87 65.87 60.00
Sites, in units of the cell vectors:
1 Dy 0.000 0.000 0.000
2 Sn 0.227 0.227 0.318
3 Sn 0.773 0.773 0.682
4 Zn 0.500 0.500 0.500

***

(3)
Entry from Alexandria: a relaxed Dy2ZnSn crystal (PBE).

Calculated values
Calculated formation energy = -0.530 eV/atom
Calculated total energy = -4.15 eV per atom
D(E_F) = 1.2209 states/eV per atom
V = 103.1 Å³/f.u.

abc: 4.296 6.054 8.500
angles: 111.07 90.00 90.00
Sites, in units of the cell vectors:
1 Sn 0.250 0.338 0.711
2 Sn 0.750 0.662 0.289
3 Dy 0.250 0.780 0.579
4 Dy 0.750 0.206 0.936
5 Dy 0.750 0.220 0.421
6 Dy 0.250 0.794 0.064
7 Zn 0.250 0.343 0.208
8 Zn 0.750 0.657 0.792

***

(4)
Entry from Alexandria: a relaxed DyZnSn2 crystal (PBE).

Calculated values
Calculated formation energy = -0.453 eV/atom
Calculated total energy = -3.92 eV per atom
D(E_F) = 0.3343 states/eV per atom
V = 93.5 Å³/f.u.

abc: 4.362 4.362 9.829
angles: 90.00 90.00 90.00
Sites, in units of the cell vectors:
1 Dy 0.000 0.500 0.249
2 Dy 0.500 0.000 0.751
3 Zn 0.500 0.500 0.000
4 Zn 0.000 0.000 0.000
5 Sn 0.500 0.500 0.500
6 Sn 0.000 0.000 0.500
7 Sn 0.500 0.000 0.185
8 Sn 0.000 0.500 0.815

***

(5)
Entry from Alexandria: a relaxed Dy2ZnSn crystal (PBE).

Calculated values
Calculated formation energy = -0.016 eV/atom
Calculated total energy = -3.64 eV per atom
D(E_F) = 1.1950 states/eV per atom
V = 112.9 Å³/f.u.

abc: 3.476 3.476 10.978
angles: 80.89 80.89 60.00
Sites, in units of the cell vectors:
1 Dy 0.903 0.903 0.291
2 Dy 0.097 0.097 0.709
3 Zn 0.500 0.500 0.500
4 Sn 0.000 0.000 0.000

***

(6)
Entry from Alexandria: a relaxed Dy5Zn2Sn crystal (PBE).

Calculated values
Calculated formation energy = -0.397 eV/atom
Calculated total energy = -4.09 eV per atom
D(E_F) = 0.8369 states/eV per atom
V = 210.3 Å³/f.u.

abc: 8.083 8.083 8.610
angles: 118.00 118.00 90.00
Sites, in units of the cell vectors:
1 Zn 0.865 0.635 0.000
2 Zn 0.365 0.865 0.000
3 Zn 0.635 0.135 0.000
4 Zn 0.135 0.365 0.000
5 Dy 0.500 0.500 0.000
6 Dy 0.990 0.490 0.292
7 Dy 0.699 0.199 0.708
8 Dy 0.510 0.699 0.708
9 Dy 0.490 0.301 0.292
10 Dy 0.000 0.000 0.000
11 Dy 0.010 0.510 0.708
12 Dy 0.301 0.801 0.292
13 Dy 0.199 0.010 0.708
14 Dy 0.801 0.990 0.292
15 Sn 0.250 0.250 0.500
16 Sn 0.750 0.750 0.500

***

(7)
Entry from Alexandria: a relaxed DyZnSn3 crystal (PBE).

Calculated values
Calculated formation energy = -0.331 eV/atom
Calculated total energy = -3.91 eV per atom
D(E_F) = 0.3037 states/eV per atom
V = 121.4 Å³/f.u.

abc: 6.198 6.235 12.568
angles: 90.00 90.00 90.00
Sites, in units of the cell vectors:
1 Zn 0.500 0.750 0.879
2 Zn 0.500 0.250 0.121
3 Zn 0.000 0.750 0.879
4 Zn 0.000 0.250 0.121
5 Sn 0.250 0.152 0.937
6 Sn 0.250 0.481 0.745
7 Sn 0.500 0.750 0.500
8 Sn 0.500 0.250 0.500
9 Sn 0.750 0.019 0.745
10 Sn 0.000 0.250 0.500
11 Sn 0.750 0.348 0.937
12 Sn 0.750 0.519 0.255
13 Sn 0.750 0.848 0.063
14 Sn 0.000 0.750 0.500
15 Sn 0.250 0.981 0.255
16 Sn 0.250 0.652 0.063
17 Dy 0.750 0.010 0.305
18 Dy 0.750 0.510 0.695
19 Dy 0.250 0.990 0.695
20 Dy 0.250 0.490 0.305

***

(8)
Entry from Alexandria: a relaxed Dy4ZnSn crystal (PBE).

Calculated values
Calculated formation energy = -0.322 eV/atom
Calculated total energy = -4.27 eV per atom
D(E_F) = 1.3420 states/eV per atom
V = 165.1 Å³/f.u.

abc: 5.879 8.574 8.160
angles: 114.76 101.83 107.20
Sites, in units of the cell vectors:
1 Dy 0.723 0.378 0.162
2 Dy 0.939 0.784 0.162
3 Dy 0.228 0.295 0.366
4 Dy 0.638 0.071 0.366
5 Dy 0.362 0.929 0.634
6 Dy 0.061 0.216 0.838
7 Dy 0.772 0.705 0.634
8 Dy 0.277 0.622 0.838
9 Sn 0.630 0.380 0.760
10 Sn 0.370 0.620 0.240
11 Zn 0.750 0.000 0.000
12 Zn 0.250 0.000 0.000

***

(9)
Entry from Alexandria: a relaxed Dy3Zn2Sn crystal (PBE).

Calculated values
Calculated formation energy = -0.455 eV/atom
Calculated total energy = -3.85 eV per atom
D(E_F) = 0.5482 states/eV per atom
V = 144.4 Å³/f.u.

abc: 3.658 5.125 15.402
angles: 90.00 90.00 90.00
Sites, in units of the cell vectors:
1 Zn 0.000 0.000 0.672
2 Zn 0.000 0.500 0.172
3 Zn 0.000 0.500 0.828
4 Zn 0.000 0.000 0.328
5 Sn 0.000 0.500 0.500
6 Sn 0.000 0.000 0.000
7 Dy 0.500 0.500 0.328
8 Dy 0.500 0.000 0.172
9 Dy 0.500 0.000 0.500
10 Dy 0.500 0.500 0.000
11 Dy 0.500 0.500 0.672
12 Dy 0.500 0.000 0.828

***

(10)
Entry from Alexandria: a relaxed Dy6Zn5Sn crystal (PBE).

Calculated values
Calculated formation energy = -0.403 eV/atom
Calculated total energy = -3.57 eV per atom
D(E_F) = 0.9888 states/eV per atom
V = 281.1 Å³/f.u.

abc: 5.089 7.208 8.842
angles: 114.05 106.72 90.00
Sites, in units of the cell vectors:
1 Dy 0.170 0.425 0.341
2 Dy 0.830 0.085 0.659
3 Dy 0.500 0.260 0.000
4 Dy 0.500 0.740 0.000
5 Dy 0.170 0.915 0.341
6 Dy 0.830 0.575 0.659
7 Zn 0.668 0.668 0.336
8 Zn 0.332 0.332 0.664
9 Zn 0.000 0.500 0.000
10 Zn 0.670 0.170 0.340
11 Zn 0.330 0.830 0.660
12 Sn 0.000 0.000 0.000

***

(11)
Entry from Alexandria: a relaxed Dy4Zn2Sn crystal (PBE).

Calculated values
Calculated formation energy = -0.274 eV/atom
Calculated total energy = -3.84 eV per atom
D(E_F) = 1.2093 states/eV per atom
V = 182.8 Å³/f.u.

abc: 5.045 5.045 8.789
angles: 73.32 73.32 60.00
Sites, in units of the cell vectors:
1 Dy 0.616 0.616 0.153
2 Dy 0.869 0.869 0.393
3 Dy 0.131 0.131 0.607
4 Dy 0.384 0.384 0.847
5 Zn 0.751 0.751 0.747
6 Zn 0.249 0.249 0.253
7 Sn 0.000 0.000 0.000

***

(12)
Entry from Alexandria: a relaxed Dy4Zn3Sn crystal (PBE).

Calculated values
Calculated formation energy = -0.430 eV/atom
Calculated total energy = -3.71 eV per atom
D(E_F) = 0.9098 states/eV per atom
V = 190.2 Å³/f.u.

abc: 5.106 5.106 8.924
angles: 73.38 73.38 60.00
Sites, in units of the cell vectors:
1 Dy 0.379 0.379 0.863
2 Dy 0.872 0.872 0.385
3 Dy 0.621 0.621 0.137
4 Dy 0.128 0.128 0.615
5 Zn 0.246 0.246 0.262
6 Zn 0.754 0.754 0.738
7 Zn 0.500 0.500 0.500
8 Sn 0.000 0.000 0.000

***

(13)
Entry from Alexandria: a relaxed DyZrSn2 crystal (PBE).

Calculated values
Calculated formation energy = -0.473 eV/atom
Calculated total energy = -5.76 eV per atom
D(E_F) = 0.8693 states/eV per atom
V = 98.8 Å³/f.u.

abc: 3.894 3.894 6.519
angles: 90.00 90.00 90.00
Sites, in units of the cell vectors:
1 Dy 0.500 0.500 0.500
2 Zr 0.500 0.500 0.000
3 Sn 0.000 0.000 0.229
4 Sn 0.000 0.000 0.771

***

(14)
Entry from Alexandria: a relaxed DyZr3Sn2 crystal (PBE).

Calculated values
Calculated formation energy = -0.394 eV/atom
Calculated total energy = -6.77 eV per atom
D(E_F) = 1.0198 states/eV per atom
V = 149.7 Å³/f.u.

abc: 4.312 9.823 8.710
angles: 122.76 90.00 102.68
Sites, in units of the cell vectors:
1 Zr 0.368 0.735 0.226
2 Zr 0.691 0.383 0.490
3 Zr 0.062 0.125 0.447
4 Zr 0.632 0.265 0.774
5 Zr 0.938 0.875 0.553
6 Zr 0.309 0.617 0.510
7 Dy 0.116 0.232 0.093
8 Dy 0.884 0.768 0.907
9 Sn 0.513 0.025 0.179
10 Sn 0.246 0.491 0.787
11 Sn 0.487 0.975 0.821
12 Sn 0.754 0.509 0.213

***

(15)
Entry from Alexandria: a relaxed Dy3Zr2Sn3 crystal (PBE).

Calculated values
Calculated formation energy = -0.667 eV/atom
Calculated total energy = -6.03 eV per atom
D(E_F) = 0.9872 states/eV per atom
V = 206.8 Å³/f.u.

abc: 6.103 8.846 8.846
angles: 120.00 90.00 90.00
Sites, in units of the cell vectors:
1 Zr 0.500 0.333 0.667
2 Zr 0.500 0.667 0.333
3 Zr 0.000 0.333 0.667
4 Zr 0.000 0.667 0.333
5 Dy 0.250 0.241 0.241
6 Dy 0.250 0.759 0.000
7 Dy 0.750 0.759 0.759
8 Dy 0.750 0.000 0.241
9 Dy 0.250 0.000 0.759
10 Dy 0.750 0.241 0.000
11 Sn 0.250 0.600 0.600
12 Sn 0.750 0.600 0.000
13 Sn 0.750 0.400 0.400
14 Sn 0.250 0.000 0.400
15 Sn 0.250 0.400 0.000
16 Sn 0.750 0.000 0.600

***

(16)
Entry from Alexandria: a relaxed DyZrSn2 crystal (PBE).

Calculated values
Calculated formation energy = -0.369 eV/atom
Calculated total energy = -5.66 eV per atom
D(E_F) = 0.5909 states/eV per atom
V = 100.2 Å³/f.u.

abc: 3.387 3.387 10.274
angles: 80.51 80.51 60.00
Sites, in units of the cell vectors:
1 Sn 0.254 0.254 0.239
2 Sn 0.746 0.746 0.761
3 Dy 0.500 0.500 0.500
4 Zr 0.000 0.000 0.000

***

(17)
Entry from Alexandria: a relaxed Dy5ZrSn4 crystal (PBE).

Calculated values
Calculated formation energy = -0.299 eV/atom
Calculated total energy = -5.06 eV per atom
D(E_F) = 0.6751 states/eV per atom
V = 307.4 Å³/f.u.

abc: 3.935 8.674 9.608
angles: 106.41 101.82 90.00
Sites, in units of the cell vectors:
1 Dy 0.500 0.500 0.000
2 Dy 0.168 0.812 0.335
3 Dy 0.172 0.373 0.343
4 Dy 0.828 0.627 0.657
5 Dy 0.832 0.188 0.665
6 Zr 0.500 0.000 0.000
7 Sn 0.336 0.910 0.671
8 Sn 0.664 0.090 0.329
9 Sn 0.002 0.243 0.004
10 Sn 0.998 0.757 0.996

***

(18)
Entry from Alexandria: a relaxed Dy2Zr3Sn4 crystal (PBE).

Calculated values
Calculated formation energy = -0.673 eV/atom
Calculated total energy = -6.32 eV per atom
D(E_F) = 0.8041 states/eV per atom
V = 223.2 Å³/f.u.

abc: 7.686 7.884 7.864
angles: 90.00 90.00 110.48
Sites, in units of the cell vectors:
1 Sn 0.359 0.484 0.364
2 Sn 0.859 0.484 0.136
3 Sn 0.651 0.917 0.035
4 Sn 0.349 0.083 0.965
5 Sn 0.849 0.083 0.535
6 Sn 0.141 0.516 0.864
7 Sn 0.641 0.516 0.636
8 Sn 0.151 0.917 0.465
9 Zr 0.754 0.746 0.325
10 Zr 0.500 0.500 0.000
11 Zr 0.246 0.254 0.675
12 Zr 0.000 0.500 0.500
13 Zr 0.746 0.254 0.825
14 Zr 0.254 0.746 0.175
15 Dy 0.057 0.186 0.169
16 Dy 0.943 0.814 0.831
17 Dy 0.557 0.186 0.331
18 Dy 0.443 0.814 0.669

***

(19)
Entry from Alexandria: a relaxed DyZrSn2 crystal (PBE).

Calculated values
Calculated formation energy = -0.470 eV/atom
Calculated total energy = -5.76 eV per atom
D(E_F) = 0.7026 states/eV per atom
V = 96.7 Å³/f.u.

abc: 4.396 4.690 4.690
angles: 90.00 90.00 90.00
Sites, in units of the cell vectors:
1 Dy 0.500 0.500 0.500
2 Sn 0.000 0.000 0.500
3 Sn 0.000 0.500 0.000
4 Zr 0.500 0.000 0.000

***

(20)
Entry from Alexandria: a relaxed SrDy2 crystal (PBE).

Calculated values
Calculated formation energy = 0.229 eV/atom
Calculated total energy = -3.40 eV per atom
D(E_F) = 1.7659 states/eV per atom
V = 117.0 Å³/f.u.

abc: 6.918 6.918 6.918
angles: 60.00 60.00 60.00
Sites, in units of the cell vectors:
1 Dy 0.125 0.625 0.625
2 Dy 0.625 0.125 0.625
3 Dy 0.625 0.625 0.625
4 Dy 0.625 0.625 0.125
5 Sr 0.250 0.250 0.250
6 Sr 0.000 0.000 0.000